Record 1
A plane-wave DFT calculation with PBE was carried out for a relaxed structure of HoPaCuAu.

Cell lengths 5.0044, 5.0044, 5.0044 Å; angles 60.00, 60.00, 60.00 degrees
Each line ends with the local moment (μB).
Fractional positions:
Pa  0.5000  0.5000  0.5000  0.34
Cu  0.7500  0.7500  0.7500  -0.01
Au  0.2500  0.2500  0.2500  -0.01
Ho  0.0000  0.0000  0.0000  0.07

Results
ΔH_f (0 K): -0.1861 eV/atom
Space-group type: F-43m, No. 216

=====

Record 2
A plane-wave DFT calculation with PBE was carried out for a relaxed structure of Pm7CdCo2.

Cell lengths 5.0658, 8.1848, 8.1848 Å; angles 111.74, 90.00, 90.00 degrees
Fractional positions:
Pm  0.5000  0.0501  0.3125
Pm  0.5000  0.5000  0.5000
Pm  0.5000  0.3125  0.0501
Pm  0.5000  0.9499  0.6875
Pm  0.0000  0.7021  0.2979
Pm  0.0000  0.2979  0.7021
Pm  0.5000  0.6875  0.9499
Cd  0.0000  0.0000  0.0000
Co  0.5000  0.2977  0.7023
Co  0.5000  0.7023  0.2977

Results
ΔH_f (0 K): 0.0425 eV/atom
Space-group type: Cmmm, No. 65

=====

Record 3
A plane-wave DFT calculation with PBE was carried out for a relaxed structure of Mo2Os2Pb.

Cell lengths 7.7843, 7.7843, 2.9021 Å; angles 90.00, 90.00, 90.00 degrees
Fractional positions:
Os  0.6366  0.8634  0.5000
Os  0.8634  0.3634  0.5000
Os  0.3634  0.1366  0.5000
Os  0.1366  0.6366  0.5000
Pb  0.0000  0.0000  0.0000
Pb  0.5000  0.5000  0.0000
Mo  0.1484  0.3516  0.0000
Mo  0.3516  0.8516  0.0000
Mo  0.6484  0.1484  0.0000
Mo  0.8516  0.6484  0.0000

Results
ΔH_f (0 K): 0.4425 eV/atom
Relative energy among the computed polymorphs: 0.0 meV/atom
Space-group type: P4/mbm, No. 127

=====

Record 4
A plane-wave DFT calculation with PBE was carried out for a relaxed structure of AlIn.

Cell lengths 4.8063, 4.8063, 5.8394 Å; angles 90.00, 90.00, 120.00 degrees
Fractional positions:
Al  0.6667  0.3333  0.4356
Al  0.3333  0.6667  0.9356
In  0.3333  0.6667  0.4354
In  0.6667  0.3333  0.9354

Results
ΔH_f (0 K): 0.3856 eV/atom
Space-group type: P6_3/mmc, No. 194

=====

Record 5
A plane-wave DFT calculation with PBE was carried out for a relaxed structure of YMnBe.

Cell lengths 5.3756, 5.3754, 3.1513 Å; angles 72.96, 72.96, 34.09 degrees
Each line ends with the local moment (μB).
Fractional positions:
Y  0.6697  0.6697  0.3303  -0.22
Be  0.9539  0.9539  0.0461  -0.07
Mn  0.3764  0.3764  0.6236  2.03

Results
ΔH_f (0 K): 0.2079 eV/atom
Relative energy among the computed polymorphs: 89.7 meV/atom
Space-group type: I4mm, No. 107

=====

Record 6
A plane-wave DFT calculation with PBE was carried out for a relaxed structure of Ti6VIn.

Cell lengths 4.6373, 4.6373, 7.9545 Å; angles 73.05, 73.05, 60.00 degrees
Each line ends with the local moment (μB).
Fractional positions:
Ti  0.8817  0.8817  0.3548  0.66
Ti  0.6304  0.6304  0.1088  0.24
Ti  0.2503  0.2503  0.2491  1.15
Ti  0.1183  0.1183  0.6452  0.66
Ti  0.7497  0.7497  0.7509  1.15
Ti  0.3696  0.3696  0.8912  0.24
In  0.5000  0.5000  0.5000  -0.04
V  0.0000  0.0000  0.0000  -1.17

Results
ΔH_f (0 K): 0.0221 eV/atom
Space-group type: R-3m, No. 166

=====

Record 7
A plane-wave DFT calculation with PBE was carried out for a relaxed structure of YAgIr2.

Cell lengths 2.9247, 2.9247, 8.4169 Å; angles 90.00, 90.00, 90.00 degrees
Fractional positions:
Ir  0.0000  0.0000  0.0192
Ir  0.5000  0.5000  0.2207
Ag  0.5000  0.5000  0.7722
Y  0.0000  0.0000  0.4879

Results
ΔH_f (0 K): 0.1076 eV/atom
Relative energy among the computed polymorphs: 328.9 meV/atom
Space-group type: P4mm, No. 99

=====

Record 8
A plane-wave DFT calculation with PBE was carried out for a relaxed structure of BP3Ir.

Cell lengths 4.6240, 4.6240, 4.6240 Å; angles 90.00, 90.00, 90.00 degrees
Fractional positions:
P  0.0000  0.0000  0.5000
P  0.5000  0.0000  0.0000
P  0.0000  0.5000  0.0000
B  0.5000  0.5000  0.5000
Ir  0.0000  0.0000  0.0000

Results
ΔH_f (0 K): 1.5954 eV/atom
Relative energy among the computed polymorphs: 832.1 meV/atom
Space-group type: Pm-3m, No. 221

=====

Record 9
A plane-wave DFT calculation with PBE was carried out for a relaxed structure of PrYHoCd.

Cell lengths 5.5221, 5.5221, 5.5221 Å; angles 60.00, 60.00, 60.00 degrees
Fractional positions:
Pr  0.0000  0.0000  0.0000
Cd  0.7500  0.7500  0.7500
Ho  0.2500  0.2500  0.2500
Y  0.5000  0.5000  0.5000

Results
ΔH_f (0 K): -0.0349 eV/atom
Relative energy among the computed polymorphs: 123.3 meV/atom
Space-group type: F-43m, No. 216

=====

Record 10
A plane-wave DFT calculation with PBE was carried out for a relaxed structure of KAcSbPd.

Cell lengths 5.5704, 5.5704, 5.5704 Å; angles 60.00, 60.00, 60.00 degrees
Fractional positions:
Sb  0.7500  0.7500  0.7500
Ac  0.5000  0.5000  0.5000
K  0.0000  0.0000  0.0000
Pd  0.2500  0.2500  0.2500

Results
Uncorrected formation energy: -461 meV per atom
Space-group type: F-43m, No. 216

=====

Record 11
A plane-wave DFT calculation with PBE was carried out for a relaxed structure of La8Y5Ho.

Cell lengths 8.6957, 8.6957, 8.6957 Å; angles 110.94, 106.57, 110.94 degrees
Fractional positions:
Y  0.0331  0.3076  0.1265
Y  0.8189  0.6924  0.7255
Y  0.8735  0.9066  0.1811
Y  0.5000  0.0000  0.5000
Y  0.2745  0.0934  0.9669
La  0.1604  0.7250  0.0696
La  0.7415  0.2662  0.3426
La  0.5646  0.9091  0.8396
La  0.6574  0.3989  0.9236
La  0.5247  0.6011  0.2585
La  0.3445  0.2750  0.4354
La  0.9304  0.0909  0.6555
La  0.0764  0.7338  0.4753
Ho  0.2500  0.5000  0.7500

Results
ΔH_f (0 K): 0.2549 eV/atom
Space-group type: I-4, No. 82

=====

Record 12
A plane-wave DFT calculation with PBE was carried out for a relaxed structure of Sm3BiSe2.

Cell lengths 4.3127, 6.1180, 12.8744 Å; angles 90.00, 90.00, 90.00 degrees
Fractional positions:
Sm  0.7502  0.0000  0.1797
Sm  0.7505  0.0000  0.5000
Sm  0.2495  0.5000  0.0000
Sm  0.2498  0.5000  0.6797
Sm  0.2498  0.5000  0.3203
Sm  0.7502  0.0000  0.8203
Se  0.7497  0.5000  0.1630
Se  0.2503  0.0000  0.6630
Se  0.2503  0.0000  0.3370
Se  0.7497  0.5000  0.8370
Bi  0.7496  0.5000  0.5000
Bi  0.2504  0.0000  0.0000

Results
Relative energy among the computed polymorphs: 0.0 meV/atom
Uncorrected formation energy: -1492 meV per atom
Space-group type: Immm, No. 71

=====

Record 13
A plane-wave DFT calculation with PBE was carried out for a relaxed structure of Pr6As5.

Cell lengths 7.4366, 7.4312, 7.4256 Å; angles 120.03, 99.61, 70.51 degrees
Fractional positions:
As  0.5000  0.8344  0.6688
As  0.0000  0.3335  0.6671
As  0.0000  0.6665  0.3329
As  0.5000  0.1656  0.3312
As  0.5000  0.5000  0.0000
Pr  0.7415  0.7402  0.0000
Pr  0.7452  0.0851  0.6542
Pr  0.2585  0.2598  0.0000
Pr  0.2548  0.9149  0.3458
Pr  0.2548  0.5691  0.6542
Pr  0.7452  0.4309  0.3458

Results
ΔH_f (0 K): -1.3534 eV/atom
Space-group type: C2/m, No. 12

=====

Record 14
A plane-wave DFT calculation with PBE was carried out for a relaxed structure of CsBeRuN2.

Cell lengths 3.8507, 3.8507, 4.8122 Å; angles 90.00, 90.00, 90.00 degrees
Each line ends with the local moment (μB).
Fractional positions:
Cs  0.5000  0.5000  0.5000  0.03
Ru  0.0000  0.0000  0.5000  0.56
Be  0.0000  0.0000  0.0000  -0.01
N  0.5000  0.0000  0.0000  0.26
N  0.0000  0.5000  0.0000  0.26

Results
Uncorrected formation energy: 1872 meV per atom
Space-group type: P4/mmm, No. 123

=====

Record 15
A plane-wave DFT calculation with PBE was carried out for a relaxed structure of BeRe4Ag.

Cell lengths 5.1783, 5.1783, 5.1783 Å; angles 60.00, 60.00, 60.00 degrees
Fractional positions:
Re  0.8747  0.3751  0.3751
Re  0.3751  0.3751  0.8747
Re  0.3751  0.8747  0.3751
Re  0.3751  0.3751  0.3751
Ag  0.7500  0.7500  0.7500
Be  0.0000  0.0000  0.0000

Results
ΔH_f (0 K): 0.8126 eV/atom
Space-group type: F-43m, No. 216

=====

Record 16
A plane-wave DFT calculation with PBE was carried out for a relaxed structure of Pm8TlSn5.

Cell lengths 8.2652, 8.2652, 8.2652 Å; angles 109.55, 109.31, 109.55 degrees
Fractional positions:
Sn  0.3740  0.1255  0.9972
Sn  0.5000  0.0000  0.5000
Sn  0.7515  0.6232  0.6260
Sn  0.0028  0.3768  0.1283
Sn  0.8717  0.8745  0.2485
Pm  0.1236  0.7542  0.5148
Pm  0.6307  0.3912  0.8764
Pm  0.7605  0.2458  0.3693
Pm  0.1277  0.7539  0.0196
Pm  0.2656  0.2461  0.3738
Pm  0.6262  0.8919  0.8723
Pm  0.9804  0.1081  0.7343
Pm  0.4852  0.6088  0.2395
Tl  0.2500  0.5000  0.7500

Results
ΔH_f (0 K): -0.6677 eV/atom
Space-group type: I-4, No. 82

=====

Record 17
A plane-wave DFT calculation with PBE was carried out for a relaxed structure of NaSr2TlPt.

Cell lengths 5.8278, 5.8278, 5.4839 Å; angles 90.00, 90.00, 90.00 degrees
Fractional positions:
Pt  0.0000  0.0000  0.0000
Sr  0.0000  0.5000  0.0000
Sr  0.5000  0.0000  0.0000
Na  0.0000  0.0000  0.5000
Tl  0.5000  0.5000  0.5000

Results
ΔH_f (0 K): -0.3181 eV/atom
Relative energy among the computed polymorphs: 44.1 meV/atom
Space-group type: P4/mmm, No. 123

=====

Record 18
A plane-wave DFT calculation with PBE was carried out for a relaxed structure of BeAlTe2.

Cell lengths 5.0059, 5.0060, 3.4144 Å; angles 90.00, 90.00, 90.00 degrees
Fractional positions:
Te  0.5000  0.5000  0.0000
Te  0.0000  0.0000  0.0000
Be  0.0000  0.5000  0.5000
Al  0.5000  0.0000  0.5000

Results
Relative energy among the computed polymorphs: 568.7 meV/atom
Uncorrected formation energy: 478 meV per atom
Space-group type: P4/mmm, No. 123

=====

Record 19
A plane-wave DFT calculation with PBE was carried out for a relaxed structure of TbCd11.

Cell lengths 7.7279, 9.2948, 9.2948 Å; angles 80.05, 65.44, 65.44 degrees
Fractional positions:
Cd  0.8750  0.2500  0.2500
Cd  0.0868  0.3200  0.9204
Cd  0.9928  0.9204  0.6800
Cd  0.1568  0.1800  0.4204
Cd  0.0868  0.9204  0.3200
Cd  0.7500  0.5000  0.5000
Cd  0.4228  0.4204  0.8200
Cd  0.4228  0.8200  0.4204
Cd  0.6632  0.5796  0.1800
Cd  0.5932  0.0796  0.3200
Cd  0.7572  0.8200  0.5796
Cd  0.3272  0.6800  0.0796
Cd  0.6632  0.1800  0.5796
Cd  0.8750  0.2500  0.7500
Cd  0.5932  0.3200  0.0796
Cd  0.7572  0.5796  0.8200
Cd  0.1568  0.4204  0.1800
Cd  0.3750  0.7500  0.7500
Cd  0.8750  0.7500  0.2500
Cd  0.0000  0.0000  0.0000
Cd  0.3272  0.0796  0.6800
Cd  0.9928  0.6800  0.9204
Tb  0.5000  0.0000  0.0000
Tb  0.2500  0.5000  0.5000

Results
ΔH_f (0 K): -0.0511 eV/atom
Space-group type: I4_1/amd, No. 141

=====

Record 20
A plane-wave DFT calculation with PBE was carried out for a relaxed structure of Pu2Mg3TaN6.

Cell lengths 3.2544, 6.4100, 7.4122 Å; angles 100.17, 102.68, 90.00 degrees
Each line ends with the local moment (μB).
Fractional positions:
Mg  0.1524  0.8172  0.3048  0.00
Mg  0.8476  0.1828  0.6952  0.00
Mg  0.5000  0.5000  0.0000  0.00
N  0.0022  0.2331  0.0044  -0.04
N  0.9978  0.7669  0.9956  -0.04
N  0.6653  0.5803  0.3307  -0.15
N  0.3347  0.4197  0.6693  -0.15
N  0.6488  0.0598  0.2976  -0.10
N  0.3512  0.9402  0.7024  -0.10
Pu  0.8330  0.6792  0.6661  4.49
Pu  0.1670  0.3208  0.3339  4.49
Ta  0.5000  0.0000  0.0000  0.18

Results
Uncorrected formation energy: -1025 meV per atom
Space-group type: C2/m, No. 12

=====

Number 1: E -22.2 eV/f.u., Fermi-level density of states 5.21 states/eV/f.u.. Number 2: E -48.0 eV/f.u., Fermi-level density of states 9.81 states/eV/f.u.. Number 3: E -45.6 eV/f.u., Fermi-level density of states 3.75 states/eV/f.u.. Number 4: E -5.7 eV/f.u., Fermi-level density of states 1.06 states/eV/f.u.. Number 5: E -18.7 eV/f.u., Fermi-level density of states 3.09 states/eV/f.u.. Number 6: E -59.0 eV/f.u., Fermi-level density of states 10.43 states/eV/f.u.. Number 7: E -26.6 eV/f.u., Fermi-level density of states 5.19 states/eV/f.u.. Number 8: E -23.8 eV/f.u., Fermi-level density of states 7.72 states/eV/f.u.. Number 9: E -16.9 eV/f.u., Fermi-level density of states 5.58 states/eV/f.u.. Number 10: E -16.4 eV/f.u., Fermi-level density of states 2.08 states/eV/f.u.. Number 11: E -72.7 eV/f.u., Fermi-level density of states 23.08 states/eV/f.u.. Number 12: E -34.0 eV/f.u., Fermi-level density of states 2.60 states/eV/f.u.. Number 13: E -66.8 eV/f.u., Fermi-level density of states 4.72 states/eV/f.u.. Number 14: E -21.1 eV/f.u., Fermi-level density of states 6.83 states/eV/f.u.. Number 15: E -51.5 eV/f.u., Fermi-level density of states 4.10 states/eV/f.u.. Number 16: E -69.7 eV/f.u., Fermi-level density of states 9.84 states/eV/f.u.. Number 17: E -14.7 eV/f.u., Fermi-level density of states 3.09 states/eV/f.u.. Number 18: E -11.8 eV/f.u., Fermi-level density of states 2.66 states/eV/f.u.. Number 19: E -15.3 eV/f.u., Fermi-level density of states 4.11 states/eV/f.u.. Number 20: E -107.5 eV/f.u., Fermi-level density of states 12.78 states/eV/f.u..